DFT (PBE-GGA) results for a geometry-optimized Zr5CoTc4 structure.

Values from the calculation:
* DFT formation energy: -0.357 eV/atom
* E_tot: -9.488 eV per atom
* N(E_F): 9.37 states/eV/cell
* SG: No. 123

a = 3.285 Å, b = 3.285 Å, c = 16.286 Å
α = 90.00°, β = 90.00°, γ = 90.00°
Positions (direct):
Tc: 0.000 0.000 0.399
Tc: 0.000 0.000 0.194
Tc: 0.000 0.000 0.601
Tc: 0.000 0.000 0.806
Zr: 0.500 0.500 0.703
Zr: 0.500 0.500 0.297
Zr: 0.500 0.500 0.903
Zr: 0.500 0.500 0.500
Zr: 0.500 0.500 0.097
Co: 0.000 0.000 0.000